VASP calculation (GGA-PBE) on a relaxed SrGdCuSe3 crystal.

The structure in POSCAR format:
```
SrGdCuSe3
1.0
9.200 -2.065 0.000
9.200 2.065 0.000
-1.848 0.000 8.125
Sr Gd Cu Se
2 2 2 6
Direct
0.126 0.126 0.071
0.874 0.874 0.929
0.162 0.162 0.585
0.838 0.838 0.415
0.462 0.462 0.291
0.538 0.538 0.709
0.000 0.000 0.500
0.325 0.325 0.648
0.326 0.326 0.172
0.500 0.500 0.000
0.674 0.674 0.828
0.675 0.675 0.352
```


VASP calculation (GGA-PBE) on a relaxed SrGdCuTeSe2 crystal.

The structure in POSCAR format:
```
SrGdCuTeSe2
1.0
2.065 -7.141 0.000
2.065 7.141 0.000
0.000 0.000 11.089
Sr Gd Cu Te Se
2 2 2 2 4
Direct
0.225 0.775 0.750
0.775 0.225 0.250
0.000 0.000 0.000
0.000 0.000 0.500
0.474 0.526 0.250
0.526 0.474 0.750
0.091 0.909 0.250
0.909 0.091 0.750
0.369 0.631 0.073
0.369 0.631 0.427
0.631 0.369 0.573
0.631 0.369 0.927
```


Ordered total energy results: -4.8898 -4.7898; unit eV/atom.
Ordered M_tot results: 0.0001 0.0002; unit μB per atom.
Ordered V results: 308.7 327.1; unit Å³/cell.